Entry 1:
The following is a PBE calculation of a geometry-optimized MnIr2 structure, from Alexandria.

Its total magnetization is 2.3 Bohr magnetons per cell.

It has space group P4/mmm (No. 123), with a = 4.061 Å, b = 4.061 Å, c = 2.865 Å, α = 90.00°, β = 90.00° and γ = 90.00°. The distinct sites, in fractional coordinates, are Mn at (0.000, 0.000, 0.000) and Ir at (0.000, 0.500, 0.500).

---

Entry 2:
The following is a PBE calculation of a geometry-optimized MnIr structure, from Alexandria.

Its total magnetization is 8.8 Bohr magnetons per cell.

It has space group I4_1/amd (No. 141, origin choice 2), with a = 3.724 Å, b = 3.724 Å, c = 7.723 Å, α = 90.00°, β = 90.00° and γ = 90.00°. The distinct sites, in fractional coordinates, are Mn at (0.000, 0.250, 0.375) and Ir at (0.000, 0.250, 0.875).

---

Number 1: calculated formation energy 46 kJ per mole of atoms, total energy -8.486 eV/atom. Number 2: calculated formation energy -12 kJ per mole of atoms, total energy -9.137 eV/atom.